Computed, not measured: crystalline K4TiPd3O8 at its relaxed geometry at the PBE-GGA level of DFT.

Geometry as CIF:
```
data_K4TiPd3O8
_chemical_formula_sum 'K4 Ti1 Pd3 O8'
_cell_length_a 6.145
_cell_length_b 6.700
_cell_length_c 7.312
_cell_angle_alpha 117.46
_cell_angle_beta 114.84
_cell_angle_gamma 90.00
_symmetry_space_group_name_H-M 'P 1'
_symmetry_Int_Tables_number 1
loop_
_symmetry_equiv_pos_as_xyz
'x,y,z'
loop_
_atom_site_label
_atom_site_fract_x
_atom_site_fract_y
_atom_site_fract_z
O1 0.181 0.602 0.363
O2 0.732 0.281 0.940
O3 0.682 0.599 0.363
O4 0.268 0.719 0.060
Pd1 0.500 0.500 0.000
K1 0.000 0.000 0.500
Pd2 0.000 0.500 0.500
K2 0.500 0.000 0.500
Ti1 0.000 0.500 0.000
K3 0.500 0.000 0.000
K4 0.000 0.000 0.000
O5 0.318 0.401 0.637
O6 0.819 0.398 0.637
Pd3 0.500 0.500 0.500
O7 0.792 0.719 0.060
O8 0.208 0.281 0.940
```

N(E_F) = 0.2 states/eV/cell
Raw formation energy = -1.3136 eV per atom
Size of the total moment = 0.00 μB per formula unit
E = -88.5 eV per cell